Version 1
Material: Ac2CuSn
Method: DFT, GGA-PBE
State: relaxed

Cell and atoms, written as extended XYZ:
```
4
Lattice="3.896 0.000 0.000 0.000 3.896 0.000 0.000 0.000 8.120" Properties=species:S:1:pos:R:3 pbc="T T T"
Cu 1.948 1.948 0.000
Ac 0.000 0.000 1.882
Sn 1.948 1.948 4.060
Ac 0.000 0.000 6.238
```

Values from the calculation:
SG: P4/mmm (123)
Calculated volume: 123 Å³ per cell


Version 2
Material: Ac2CuSn
Method: DFT, GGA-PBE
State: relaxed

Cell and atoms, written as extended XYZ:
```
4
Lattice="-2.432 4.122 -2.255 -3.002 0.700 4.519 4.412 0.749 2.818" Properties=species:S:1:pos:R:3 pbc="T T T"
Sn 1.668 3.166 3.990
Ac -1.421 4.479 3.515
Ac 0.342 1.105 1.651
Cu -1.242 2.067 -1.089
```

Values from the calculation:
SG: P-3m1 (164)
Calculated volume: 133 Å³ per cell


In kJ/mol of atoms, relative to the most stable structure: version 1 0.0; version 2 6.4.


Version 1
Material: AcCu2Sn4
Method: DFT, GGA-PBE
State: relaxed

Cell and atoms, written as extended XYZ:
```
28
Lattice="4.490 0.000 0.000 0.000 7.160 0.000 0.000 0.000 21.527" Properties=species:S:1:pos:R:3 pbc="T T T"
Sn 3.368 4.582 20.997
Sn 3.368 1.316 17.838
Cu 3.368 1.690 20.731
Sn 1.123 1.002 11.294
Sn 3.368 5.585 16.876
Sn 1.123 2.578 0.530
Sn 1.123 3.529 9.329
Sn 3.368 5.156 6.112
Ac 1.123 3.706 18.614
Sn 1.123 0.051 20.093
Cu 3.368 0.144 4.231
Ac 3.368 0.126 13.676
Cu 1.123 5.470 0.796
Sn 1.123 2.004 15.415
Sn 1.123 1.576 4.652
Cu 3.368 3.436 14.994
Cu 1.123 7.016 17.296
Sn 3.368 7.109 1.434
Ac 3.368 3.455 2.913
Cu 1.123 5.270 11.560
Cu 3.368 1.890 9.967
Sn 1.123 5.845 3.689
Sn 3.368 6.158 10.234
Sn 3.368 3.631 12.198
Sn 1.123 4.896 14.452
Sn 3.368 2.264 7.075
Ac 1.123 7.035 7.851
Cu 1.123 3.724 6.533
```

Values from the calculation:
SG: Pnma (62)
Calculated volume: 692 Å³ per cell


Version 2
Material: AcCu2Sn4
Method: DFT, GGA-PBE
State: relaxed

Cell and atoms, written as extended XYZ:
```
7
Lattice="-1.424 2.881 -4.128 -2.819 -3.914 -1.759 -3.627 4.124 4.129" Properties=species:S:1:pos:R:3 pbc="T T T"
Sn -3.177 1.367 2.049
Cu -4.771 3.187 0.554
Ac 0.000 0.000 0.000
Cu -3.099 -0.096 -2.313
Sn -2.485 2.203 -0.920
Sn -3.269 -1.157 0.321
Sn -5.384 0.888 -0.838
```

Values from the calculation:
SG: Cmmm (65)
Calculated volume: 171 Å³ per cell


In kJ/mol of atoms, relative to the most stable structure: version 1 0.0; version 2 6.8.


Version 1
Material: Ac3Cu4Sn4
Method: DFT, GGA-PBE
State: relaxed

Cell and atoms, written as extended XYZ:
```
11
Lattice="4.637 0.000 0.002 0.000 4.645 0.008 2.306 2.325 13.084" Properties=species:S:1:pos:R:3 pbc="T T T"
Cu 2.314 2.320 6.548
Ac 2.306 2.325 13.084
Cu 4.629 4.649 6.545
Cu 4.629 2.329 10.511
Ac 2.315 4.646 9.003
Sn 2.310 4.646 5.195
Sn 2.311 2.319 1.462
Sn 4.632 4.650 11.631
Sn 4.633 2.324 7.899
Ac 4.629 2.324 4.090
Cu 2.314 4.640 2.583
```

Values from the calculation:
SG: P-1 (2)
Calculated volume: 282 Å³ per cell


Version 2
Material: Ac3Cu4Sn4
Method: DFT, GGA-PBE
State: relaxed

Cell and atoms, written as extended XYZ:
```
11
Lattice="-1.337 3.210 -2.956 2.782 -1.722 -3.128 -10.651 -8.883 -1.307" Properties=species:S:1:pos:R:3 pbc="T T T"
Sn -8.685 -4.967 -4.990
Ac 0.000 0.000 0.000
Sn -4.965 -4.071 -2.175
Cu -0.197 -0.010 -3.445
Cu -9.009 -7.386 -3.946
Sn -4.240 -3.325 -5.216
Sn -0.520 -2.428 -2.401
Cu -2.456 -4.015 -3.249
Ac -5.623 -6.612 -4.637
Cu -6.750 -3.381 -4.142
Ac -3.582 -0.784 -2.755
```

Values from the calculation:
SG: Immm (71)
Calculated volume: 280 Å³ per cell


In kJ/mol of atoms, relative to the most stable structure: version 1 0.0; version 2 4.1.


Version 1
Material: Ac2Cu2Sn3
Method: DFT, GGA-PBE
State: relaxed

Cell and atoms, written as extended XYZ:
```
7
Lattice="-3.540 -2.795 0.572 4.966 -2.040 2.698 -3.355 5.196 4.624" Properties=species:S:1:pos:R:3 pbc="T T T"
Cu 0.086 0.335 2.172
Sn 0.589 0.253 4.880
Sn -2.517 0.107 3.014
Ac -0.232 -2.716 3.361
Ac -1.696 3.076 4.533
Cu -2.015 0.025 5.723
Sn -1.770 -1.398 0.286
```

Values from the calculation:
SG: C2/m (12)
Calculated volume: 183 Å³ per cell


Version 2
Material: Ac2Cu2Sn3
Method: DFT, GGA-PBE
State: relaxed

Cell and atoms, written as extended XYZ:
```
14
Lattice="-2.378 -3.428 2.598 1.479 -4.989 -5.229 9.887 -0.707 3.470" Properties=species:S:1:pos:R:3 pbc="T T T"
Sn 0.094 -2.320 1.673
Sn 8.315 -4.853 1.210
Sn 4.052 -4.317 2.662
Ac 3.231 -2.044 0.261
Sn 4.936 -4.807 -1.824
Cu 5.463 -1.852 2.557
Cu 3.000 -5.500 0.137
Ac 7.067 -5.156 4.315
Ac 1.921 -3.968 -3.477
Cu 3.524 -7.271 -1.719
Cu 5.988 -3.624 0.701
Ac 5.757 -7.080 0.577
Sn 8.894 -6.804 -0.835
Sn 0.672 -4.271 -0.372
```

Values from the calculation:
SG: Cmcm (63)
Calculated volume: 370 Å³ per cell


In kJ/mol of atoms, relative to the most stable structure: version 1 7.0; version 2 0.0.


Version 1
Material: AcCuSn2
Method: DFT, GGA-PBE
State: relaxed

Cell and atoms, written as extended XYZ:
```
8
Lattice="-2.446 -1.645 -3.687 1.706 -4.327 0.799 -8.179 0.324 5.280" Properties=species:S:1:pos:R:3 pbc="T T T"
Ac -3.410 -1.630 -1.544
Ac -5.508 -4.018 3.935
Sn -0.397 -2.735 -0.027
Sn -8.522 -2.913 2.419
Cu -2.390 -3.235 1.518
Cu -6.528 -2.413 0.873
Sn -4.650 -4.318 0.478
Sn -4.268 -1.329 1.913
```

Values from the calculation:
SG: Cmcm (63)
Calculated volume: 211 Å³ per cell


Version 2
Material: AcCuSn2
Method: DFT, GGA-PBE
State: relaxed

Cell and atoms, written as extended XYZ:
```
4
Lattice="-2.787 4.773 -1.560 -5.716 0.275 0.482 -2.456 3.104 3.315" Properties=species:S:1:pos:R:3 pbc="T T T"
Cu 0.000 0.000 0.000
Ac -5.479 4.076 1.119
Sn -2.707 2.160 0.875
Sn -8.251 5.992 1.363
```

Values from the calculation:
SG: R-3m (166)
Calculated volume: 113 Å³ per cell


Version 3
Material: AcCuSn2
Method: DFT, GGA-PBE
State: relaxed

Cell and atoms, written as extended XYZ:
```
4
Lattice="-0.680 2.544 -2.606 -3.432 0.439 1.324 2.488 5.426 4.648" Properties=species:S:1:pos:R:3 pbc="T T T"
Sn 0.470 1.026 0.879
Cu -2.056 1.492 -0.641
Sn 2.017 4.400 3.769
Ac -0.812 4.204 1.683
```

Values from the calculation:
SG: P4/mmm (123)
Calculated volume: 104 Å³ per cell


In kJ/mol of atoms, relative to the most stable structure: version 1 0.0; version 2 39.2; version 3 35.0.


Version 1
Material: AcCuSn2
Method: DFT, GGA-PBE
State: relaxed

Cell and atoms, written as extended XYZ:
```
16
Lattice="4.749 0.000 0.000 0.000 9.555 0.000 -2.375 -4.777 9.266" Properties=species:S:1:pos:R:3 pbc="T T T"
Ac 2.375 7.090 0.000
Cu 2.375 -2.337 6.545
Sn 0.000 0.000 1.502
Sn 2.375 4.777 7.764
Sn 0.000 4.777 1.431
Cu 2.375 2.337 6.545
Ac 2.375 4.777 3.799
Cu 0.000 2.441 2.721
Sn 0.000 3.282 5.758
Sn 2.375 -1.495 3.508
Ac 2.375 2.465 0.000
Sn 2.375 0.000 7.835
Sn 0.000 6.273 5.758
Sn 2.375 1.495 3.508
Ac 0.000 0.000 5.467
Cu 0.000 7.114 2.721
```

Values from the calculation:
SG: Immm (71)
Calculated volume: 420 Å³ per cell


Version 2
Material: AcCuSn2
Method: DFT, GGA-PBE
State: relaxed

Cell and atoms, written as extended XYZ:
```
4
Lattice="4.882 0.000 0.000 0.000 4.707 0.000 0.000 0.000 4.707" Properties=species:S:1:pos:R:3 pbc="T T T"
Ac 2.441 0.000 0.000
Sn 0.000 0.000 2.353
Cu 2.441 2.353 2.353
Sn 0.000 2.353 0.000
```

Values from the calculation:
SG: P4/mmm (123)
Calculated volume: 108 Å³ per cell


In kJ/mol of atoms, relative to the most stable structure: version 1 0.0; version 2 21.3.


Version 1
Material: Ac4CuSn2
Method: DFT, GGA-PBE
State: relaxed

Cell and atoms, written as extended XYZ:
```
7
Lattice="-4.799 1.210 -0.082 -1.576 -6.700 -6.612 2.459 0.180 8.100" Properties=species:S:1:pos:R:3 pbc="T T T"
Ac -2.666 -0.080 5.392
Ac -1.089 -4.288 0.464
Ac -1.250 -5.229 -3.987
Cu 0.000 0.000 0.000
Ac -2.827 -1.021 0.942
Sn -3.355 -3.314 -1.936
Sn -0.561 -1.996 3.341
```

Values from the calculation:
SG: C2/m (12)
Calculated volume: 249 Å³ per cell


Version 2
Material: Ac4CuSn2
Method: DFT, GGA-PBE
State: relaxed

Cell and atoms, written as extended XYZ:
```
7
Lattice="-0.677 -1.363 -5.230 -3.816 -3.612 1.435 -4.103 8.862 1.059" Properties=species:S:1:pos:R:3 pbc="T T T"
Ac -1.908 -1.806 0.717
Ac -6.313 1.595 -2.435
Sn -3.946 -0.781 -2.122
Ac -2.282 2.291 -0.302
Cu 0.000 0.000 0.000
Sn -4.650 4.668 -0.614
Ac -0.338 -0.681 -2.615
```

Values from the calculation:
SG: I4/mmm (139)
Calculated volume: 268 Å³ per cell


In kJ/mol of atoms, relative to the most stable structure: version 1 0.0; version 2 12.5.


Version 1
Material: SrAcCu2
Method: DFT, GGA-PBE
State: relaxed

Cell and atoms, written as extended XYZ:
```
4
Lattice="-2.175 -3.603 3.295 2.750 -1.752 4.234 -1.481 1.438 4.930" Properties=species:S:1:pos:R:3 pbc="T T T"
Sr -0.453 -1.958 6.230
Cu -0.679 -2.937 9.344
Ac 0.000 0.000 0.000
Cu -0.226 -0.979 3.115
```

Values from the calculation:
SG: Fm-3m (225)
Calculated volume: 108 Å³ per cell


Version 2
Material: SrAcCu2
Method: DFT, GGA-PBE
State: relaxed

Cell and atoms, written as extended XYZ:
```
4
Lattice="4.282 0.000 -0.028 0.000 4.487 0.000 -2.102 0.000 5.958" Properties=species:S:1:pos:R:3 pbc="T T T"
Sr 1.026 0.000 5.841
Cu -1.131 0.000 3.477
Cu -1.123 2.244 4.868
Ac 1.004 2.244 2.567
```

Values from the calculation:
SG: Amm2 (38)
Calculated volume: 114 Å³ per cell


In kJ/mol of atoms, relative to the most stable structure: version 1 6.0; version 2 0.0.